Record 1
Pr2Si2Pb | PBE | optimized geometry

a = 4.340 Å, b = 3.909 Å, c = 7.754 Å
α = 104.60°, β = 90.00°, γ = 90.00°
Positions (direct):
Pr 0.500 0.637 0.275
Pr 0.500 0.363 0.725
Si 0.000 0.204 0.408
Si 0.000 0.796 0.592
Pb 0.000 0.000 0.000

Uncorrected energy = -5.47 eV per atom
Raw formation energy = -650 meV per atom
Magnetization = 0.000 μB/atom


Record 2
Pr2SiPb | PBE | optimized geometry

a = 3.983 Å, b = 3.983 Å, c = 6.981 Å
α = 90.00°, β = 90.00°, γ = 90.00°
Positions (direct):
Pb 0.500 0.500 0.500
Pr 0.000 0.000 0.778
Pr 0.000 0.000 0.222
Si 0.500 0.500 0.000

Uncorrected energy = -5.12 eV per atom
Raw formation energy = -449 meV per atom
Polymorph energy (0 for the lowest one) = 23 meV per atom
Magnetization = 0.000 μB/atom


Record 3
Pr4SiTe2Pb | PBE | optimized geometry

a = 4.474 Å, b = 7.866 Å, c = 7.824 Å
α = 70.95°, β = 90.00°, γ = 90.00°
Positions (direct):
Pr 0.000 0.738 0.742
Pr 0.000 0.262 0.258
Pr 0.500 0.729 0.268
Pr 0.500 0.271 0.732
Si 0.000 0.500 0.500
Te 0.000 0.000 0.000
Te 0.500 0.000 0.500
Pb 0.500 0.500 0.000

Uncorrected energy = -5.38 eV per atom
Raw formation energy = -1061 meV per atom
Magnetization = 0.000 μB/atom


Record 4
Pr6Si2Te3Pb | PBE | optimized geometry

a = 4.447 Å, b = 9.067 Å, c = 10.065 Å
α = 103.73°, β = 102.76°, γ = 90.00°
Positions (direct):
Pr 0.332 0.895 0.663
Pr 0.673 0.569 0.346
Pr 0.668 0.105 0.337
Pr 0.009 0.254 0.018
Pr 0.991 0.746 0.982
Pr 0.327 0.431 0.654
Si 0.832 0.665 0.664
Si 0.168 0.335 0.336
Te 0.500 0.500 0.000
Te 0.836 0.168 0.672
Te 0.164 0.832 0.328
Pb 0.500 0.000 0.000

Uncorrected energy = -5.47 eV per atom
Raw formation energy = -1079 meV per atom
Magnetization = 0.000 μB/atom


Record 5
Pr6Sm8Pb | PBE | optimized geometry

a = 6.689 Å, b = 9.502 Å, c = 9.502 Å
α = 120.00°, β = 90.00°, γ = 90.00°
Positions (direct):
Pr 0.671 0.646 0.090
Pr 0.671 0.910 0.556
Pr 0.671 0.444 0.354
Pr 0.329 0.354 0.910
Pr 0.329 0.090 0.444
Pr 0.329 0.556 0.646
Sm 0.821 0.038 0.266
Sm 0.821 0.734 0.773
Sm 0.821 0.227 0.962
Sm 0.179 0.962 0.734
Sm 0.179 0.266 0.227
Sm 0.179 0.773 0.038
Sm 0.866 0.333 0.667
Sm 0.134 0.667 0.333
Pb 0.500 0.000 0.000

Uncorrected energy = -4.63 eV per atom
E_form = 4.6 kJ/mol of atoms
Magnetization = 0.000 μB/atom


Record 6
Pr14SmPb | PBE | optimized geometry

a = 7.341 Å, b = 7.341 Å, c = 10.403 Å
α = 90.00°, β = 90.00°, γ = 89.99°
Positions (direct):
Pr 0.375 0.625 0.500
Pr 0.875 0.125 0.500
Pr 0.875 0.625 0.000
Pr 0.875 0.625 0.500
Pr 0.375 0.125 0.000
Pr 0.375 0.125 0.500
Pr 0.622 0.872 0.755
Pr 0.622 0.872 0.245
Pr 0.128 0.378 0.755
Pr 0.128 0.378 0.245
Pr 0.128 0.872 0.755
Pr 0.128 0.872 0.245
Pr 0.622 0.378 0.755
Pr 0.622 0.378 0.245
Sm 0.875 0.125 0.000
Pb 0.375 0.625 0.000

Uncorrected energy = -4.76 eV per atom
E_form = -5.1 kJ/mol of atoms
Magnetization = 0.000 μB/atom


Record 7
PrSmPb2 | PBE | optimized geometry

a = 4.877 Å, b = 4.877 Å, c = 7.431 Å
α = 70.84°, β = 70.84°, γ = 60.00°
Positions (direct):
Pr 0.671 0.671 0.987
Sm 0.494 0.494 0.518
Pb 0.088 0.088 0.737
Pb 0.247 0.247 0.258

Uncorrected energy = -4.59 eV per atom
E_form = -34.4 kJ/mol of atoms
Magnetization = 0.000 μB/atom


Record 8
Pr6SmPb | PBE | optimized geometry

a = 5.073 Å, b = 5.073 Å, c = 10.534 Å
α = 90.00°, β = 90.00°, γ = 90.00°
Positions (direct):
Pr 0.500 0.500 0.000
Pr 0.500 0.500 0.500
Pr 0.500 0.000 0.243
Pr 0.500 0.000 0.757
Pr 0.000 0.500 0.243
Pr 0.000 0.500 0.757
Sm 0.000 0.000 0.500
Pb 0.000 0.000 0.000

Uncorrected energy = -4.78 eV per atom
E_form = -14.2 kJ/mol of atoms
Magnetization = 0.000 μB/atom